No. 1
{"formula": "LaZrBr3", "functional": "PBE-GGA", "state": "optimized geometry", "lattice": [[-5.764, -0.815, 0.536], [0.657, -5.618, -1.477], [0.721, -1.397, 5.630]], "species": ["Zr", "La", "Br", "Br", "Br"], "frac_coords": [[0.500, 0.500, 0.500], [0.000, 0.000, 0.000], [0.000, 0.500, 0.000], [0.500, 0.000, 0.000], [0.000, 0.000, 0.500]], "e_above_lowest_polymorph_ev_per_fu": 1.005, "formation_energy_uncorrected_ev_per_atom": -0.4090, "n_ef_per_ev_cell": 11.29, "space_group": "Pm-3m (221)"}

No. 2
{"formula": "SrCa2", "functional": "PBE-GGA", "state": "optimized geometry", "lattice": [[-4.096, 4.229, 3.695], [-0.902, -6.884, 0.341], [12.772, -0.920, 15.210]], "species": ["Ca", "Ca", "Sr", "Ca", "Ca", "Ca", "Sr", "Sr", "Sr", "Sr", "Ca", "Sr", "Ca", "Ca", "Ca", "Ca", "Ca", "Ca"], "frac_coords": [[0.339, 0.000, 0.000], [0.333, 0.667, 0.167], [0.000, 0.000, 0.835], [0.995, 0.328, 0.667], [0.667, 0.672, 0.333], [0.661, 0.661, 0.000], [0.333, 0.667, 0.502], [0.000, 0.000, 0.165], [0.667, 0.333, 0.498], [0.333, 0.667, 0.832], [0.667, 0.333, 0.833], [0.667, 0.333, 0.168], [0.000, 0.000, 0.500], [0.333, 0.005, 0.667], [0.328, 0.995, 0.333], [0.000, 0.339, 0.000], [0.005, 0.333, 0.333], [0.672, 0.667, 0.667]], "e_above_lowest_polymorph_ev_per_fu": 0.023, "n_ef_per_ev_cell": 19.07, "space_group": "R32 (155)", "formation_energy_ev_per_atom": 0.0213}

No. 3
{"formula": "CoCuPb4", "functional": "PBE-GGA", "state": "optimized geometry", "lattice": [[0.000, 4.453, 4.453], [4.453, 0.000, 4.453], [4.453, 4.453, 0.000]], "species": ["Pb", "Cu", "Pb", "Pb", "Co", "Pb"], "frac_coords": [[0.874, 0.375, 0.375], [0.000, 0.000, 0.000], [0.375, 0.375, 0.874], [0.375, 0.375, 0.375], [0.750, 0.750, 0.750], [0.375, 0.874, 0.375]], "n_ef_per_ev_cell": 7.50, "space_group": "F-43m (216)", "formation_energy_ev_per_atom": 0.9552}

No. 4
{"formula": "Ni6Sn3H", "functional": "PBE-GGA", "state": "optimized geometry", "lattice": [[3.854, 0.000, 0.000], [0.000, 8.210, 0.452], [0.000, -1.391, 8.104]], "species": ["Ni", "Ni", "Ni", "H", "Sn", "Sn", "Sn", "Ni", "Ni", "Sn", "Sn", "Ni", "Ni", "Ni", "Sn", "Ni", "Ni", "H", "Ni", "Ni"], "frac_coords": [[0.653, 0.928, 0.072], [0.653, 0.588, 0.742], [0.153, 0.412, 0.258], [0.599, 0.793, 0.207], [0.156, 0.402, 0.598], [0.151, 0.069, 0.273], [0.651, 0.931, 0.727], [0.654, 0.589, 0.082], [0.660, 0.250, 0.750], [0.151, 0.727, 0.931], [0.651, 0.273, 0.069], [0.160, 0.750, 0.250], [0.653, 0.258, 0.412], [0.154, 0.411, 0.918], [0.656, 0.598, 0.402], [0.153, 0.072, 0.928], [0.654, 0.918, 0.411], [0.099, 0.207, 0.793], [0.153, 0.742, 0.588], [0.154, 0.082, 0.589]], "total_energy_ev_per_fu": -51.1, "n_ef_per_ev_cell": 9.28, "space_group": "Cmc2_1 (36)"}

No. 5
{"formula": "In4SnHg5", "functional": "PBE-GGA", "state": "optimized geometry", "lattice": [[-0.797, -2.240, -2.298], [0.600, -2.430, 2.161], [-22.881, 0.752, 7.198]], "species": ["Hg", "In", "Hg", "Hg", "Hg", "In", "Hg", "In", "Sn", "In"], "frac_coords": [[0.500, 0.500, 0.700], [0.000, 0.000, 0.601], [0.500, 0.500, 0.300], [0.500, 0.500, 0.898], [0.500, 0.500, 0.500], [0.000, 0.000, 0.800], [0.500, 0.500, 0.102], [0.000, 0.000, 0.200], [0.000, 0.000, 0.000], [0.000, 0.000, 0.399]], "e_above_lowest_polymorph_ev_per_fu": 0.000, "n_ef_per_ev_cell": 3.05, "space_group": "P4/mmm (123)", "formation_energy_ev_per_atom": 0.0144}

No. 6
{"formula": "KLi2Tl2", "functional": "PBE-GGA", "state": "optimized geometry", "lattice": [[8.903, 0.000, 0.000], [0.000, 8.903, 0.000], [0.000, 0.000, 3.411]], "species": ["Tl", "Tl", "K", "Li", "Tl", "Li", "K", "Li", "Li", "Tl"], "frac_coords": [[0.375, 0.875, 0.000], [0.625, 0.125, 0.000], [0.500, 0.500, 0.000], [0.666, 0.834, 0.500], [0.875, 0.625, 0.000], [0.834, 0.334, 0.500], [0.000, 0.000, 0.000], [0.166, 0.666, 0.500], [0.334, 0.166, 0.500], [0.125, 0.375, 0.000]], "e_above_lowest_polymorph_ev_per_fu": 0.063, "n_ef_per_ev_cell": 7.51, "space_group": "P4/mbm (127)", "formation_energy_ev_per_atom": -0.1127}

No. 7
{"formula": "CaGa2GePd", "functional": "PBE-GGA", "state": "optimized geometry", "lattice": [[4.282, 0.000, 0.000], [0.000, 4.123, 0.000], [-2.141, -2.062, 5.487]], "species": ["Ge", "Ga", "Ca", "Ga", "Pd"], "frac_coords": [[0.830, 0.830, 0.659], [0.057, 0.057, 0.114], [0.440, 0.440, 0.880], [0.689, 0.189, 0.377], [0.197, 0.697, 0.394]], "n_ef_per_ev_cell": 2.05, "space_group": "Imm2 (44)", "formation_energy_ev_per_atom": -0.5555}

No. 8
{"formula": "LiTb2RuC", "functional": "PBE-GGA", "state": "optimized geometry", "lattice": [[-0.530, -2.454, 3.000], [-3.544, -2.425, -2.610], [3.498, -3.071, -1.894]], "species": ["Ru", "Tb", "C", "Tb", "Li"], "frac_coords": [[0.500, 0.000, 0.000], [0.000, 0.000, 0.500], [0.000, 0.000, 0.000], [0.000, 0.500, 0.000], [0.500, 0.500, 0.500]], "n_ef_per_ev_cell": 3.82, "space_group": "P4/mmm (123)", "formation_energy_ev_per_atom": -0.2593}

Number 1: V 199.7 Å³ per cell. Number 2: V 832.0 Å³ per cell. Number 3: V 176.6 Å³ per cell. Number 4: V 258.9 Å³ per cell. Number 5: V 262.4 Å³ per cell. Number 6: V 270.4 Å³ per cell. Number 7: V 96.9 Å³ per cell. Number 8: V 98.8 Å³ per cell.